AcNi5P2: relaxed, PBE-GGA.

For the formation energy, the calculation gives -629.3 meV/atom. The density of states at the Fermi level comes out at 12.90 states/eV per cell.

The space group is Immm (No. 71) and the conventional cell measures 3.809, 6.471 and 9.305 Å, with angles of 90.00, 90.00 and 90.00 degrees. The distinct sites, in fractional coordinates, are Ac at (0.000, 0.000, 0.000), Ni at (0.000, 0.188, 0.338), Ni at (0.000, 0.500, 0.000) and P at (0.000, 0.500, 0.234).


AcNi3P2: relaxed, PBE-GGA.

For the formation energy, the calculation gives -780.1 meV/atom. The density of states at the Fermi level comes out at 21.03 states/eV per cell. The calculation puts the energy above the most stable polymorph in this dataset at 6 meV per atom.

The space group is C2/m (No. 12) and the conventional cell measures 14.743, 3.851 and 7.368 Å, with angles of 90.00, 113.81 and 90.00 degrees. The distinct sites, in fractional coordinates, are Ac at (0.146, 0.000, 0.062), Ni at (0.047, 0.000, 0.390), Ni at (0.096, 0.500, 0.661), Ni at (0.187, 0.500, 0.445), P at (0.026, 0.500, 0.233) and P at (0.189, 0.000, 0.662).


AcNi2P2: relaxed, PBE-GGA.

For the formation energy, the calculation gives -922.7 meV/atom. The density of states at the Fermi level comes out at 14.00 states/eV per cell.

The space group is Fddd (No. 70, origin choice 2) and the conventional cell measures 6.038, 10.101 and 11.401 Å, with angles of 90.00, 90.00 and 90.00 degrees. The distinct sites, in fractional coordinates, are Ac at (0.125, 0.125, 0.125), Ni at (0.125, 0.125, 0.509) and P at (0.125, 0.307, 0.625).


AcNi6P3: relaxed, PBE-GGA.

For the formation energy, the calculation gives -554.6 meV/atom. The density of states at the Fermi level comes out at 10.87 states/eV per cell.

The space group is P2_1/c (No. 14) and the conventional cell measures 6.660, 6.586 and 9.511 Å, with angles of 90.00, 130.59 and 90.00 degrees. The distinct sites, in fractional coordinates, are Ac at (0.000, 0.000, 0.000), Ni at (0.158, 0.043, 0.478), Ni at (0.455, 0.179, 0.006), Ni at (0.482, 0.201, 0.279), P at (0.264, 0.004, 0.748) and P at (0.500, 0.000, 0.500).


AcNi3P: relaxed, PBE-GGA.

For the formation energy, the calculation gives -448.1 meV/atom. The density of states at the Fermi level comes out at 0.83 states/eV per cell.

The space group is Pm-3m (No. 221) and the conventional cell measures 4.412, 4.412 and 4.412 Å, with angles of 90.00, 90.00 and 90.00 degrees. The distinct sites, in fractional coordinates, are Ac at (0.000, 0.000, 0.000), Ni at (0.000, 0.500, 0.500) and P at (0.500, 0.500, 0.500).


AcPaNi2P2: relaxed, PBE-GGA.

For the formation energy, the calculation gives -1084.7 meV/atom. The density of states at the Fermi level comes out at 6.15 states/eV per cell.

The space group is P-3m1 (No. 164) and the conventional cell measures 3.9717, 3.9717 and 8.2695 Å, with angles of 90.00, 90.00 and 120.00 degrees. The distinct sites, in fractional coordinates, are Ac at (0.0000, 0.0000, 0.0000), Pa at (0.0000, 0.0000, 0.5000), Ni at (0.3333, 0.6667, 0.7078) and P at (0.3333, 0.6667, 0.2682).


Ac2Ni4P3Pd: relaxed, PBE-GGA.

For the formation energy, the calculation gives -766.1 meV/atom. The density of states at the Fermi level comes out at 8.24 states/eV per cell.

The space group is P-4m2 (No. 115) and the conventional cell measures 4.175, 4.175 and 9.687 Å, with angles of 90.00, 90.00 and 90.00 degrees. The distinct sites, in fractional coordinates, are Ac at (0.000, 0.500, 0.248), Ni at (0.000, 0.000, 0.000), Ni at (0.000, 0.500, 0.639), Ni at (0.500, 0.500, 0.000), P at (0.000, 0.500, 0.879), P at (0.500, 0.500, 0.500) and Pd at (0.000, 0.000, 0.500).


AcNiP2Pd: relaxed, PBE-GGA.

For the formation energy, the calculation gives -863.6 meV/atom. The density of states at the Fermi level comes out at 4.71 states/eV per cell.

The space group is I-4m2 (No. 119) and the conventional cell measures 4.243, 4.243 and 9.847 Å, with angles of 90.00, 90.00 and 90.00 degrees. The distinct sites, in fractional coordinates, are Ac at (0.000, 0.000, 0.000), Ni at (0.000, 0.500, 0.750), P at (0.000, 0.000, 0.376) and Pd at (0.000, 0.500, 0.250).


Ac2Ni3P4Pd: relaxed, PBE-GGA.

For the formation energy, the calculation gives -914.7 meV/atom. The density of states at the Fermi level comes out at 4.43 states/eV per cell.

The space group is P-4m2 (No. 115) and the conventional cell measures 4.242, 4.242 and 9.528 Å, with angles of 90.00, 90.00 and 90.00 degrees. The distinct sites, in fractional coordinates, are Ac at (0.000, 0.500, 0.244), Ni at (0.000, 0.500, 0.894), Ni at (0.500, 0.500, 0.500), P at (0.000, 0.000, 0.000), P at (0.000, 0.500, 0.636), P at (0.500, 0.500, 0.000) and Pd at (0.000, 0.000, 0.500).


Ac2NiP3Pd4: relaxed, PBE-GGA.

For the formation energy, the calculation gives -822.1 meV/atom. The density of states at the Fermi level comes out at 8.68 states/eV per cell.

The space group is P-4m2 (No. 115) and the conventional cell measures 4.356, 4.356 and 9.935 Å, with angles of 90.00, 90.00 and 90.00 degrees. The distinct sites, in fractional coordinates, are Ac at (0.000, 0.500, 0.246), Ni at (0.500, 0.500, 0.000), P at (0.000, 0.000, 0.000), P at (0.000, 0.500, 0.632), Pd at (0.000, 0.000, 0.500), Pd at (0.000, 0.500, 0.880) and Pd at (0.500, 0.500, 0.500).


Ac2NiPPd6: relaxed, PBE-GGA.

For the formation energy, the calculation gives -674.1 meV/atom. The density of states at the Fermi level comes out at 7.84 states/eV per cell.

The space group is C2/m (No. 12) and the conventional cell measures 11.662, 5.593 and 8.158 Å, with angles of 90.00, 129.78 and 90.00 degrees. The distinct sites, in fractional coordinates, are Ac at (0.228, 0.000, 0.193), Ni at (0.000, 0.500, 0.000), P at (0.000, 0.000, 0.500), Pd at (0.006, 0.256, 0.275) and Pd at (0.249, 0.500, 0.376).